Crystalline InReTe2AuSe at its relaxed geometry, computed with PBE.

V, Å³ per atom: 24.78
Energy, eV/atom: -4.44

abc: 7.629 7.629 10.241
angles: 90.00 90.00 150.07
Atoms (fractional coordinates):
In: 0.244 0.756 0.750
In: 0.756 0.244 0.250
Re: 0.000 0.000 0.000
Re: 0.000 0.000 0.500
Te: 0.368 0.632 0.025
Te: 0.368 0.632 0.475
Te: 0.632 0.368 0.525
Te: 0.632 0.368 0.975
Au: 0.461 0.539 0.250
Au: 0.539 0.461 0.750
Se: 0.076 0.924 0.250
Se: 0.924 0.076 0.750

Crystalline Pr3Tl2Cd4 at its relaxed geometry, computed with PBE.

V, Å³ per atom: 27.20
Energy, eV/atom: -2.89

abc: 7.783 7.783 4.666
angles: 90.00 90.00 120.00
Atoms (fractional coordinates):
Pr: 0.000 0.579 0.000
Pr: 0.421 0.421 0.000
Pr: 0.579 0.000 0.000
Tl: 0.333 0.667 0.500
Tl: 0.667 0.333 0.500
Cd: 0.000 0.000 0.000
Cd: 0.000 0.239 0.500
Cd: 0.239 0.000 0.500
Cd: 0.761 0.761 0.500

Crystalline GdDyGa4Ir2 at its relaxed geometry, computed with PBE.

V, Å³ per atom: 18.54
Energy, eV/atom: -5.63

abc: 6.734 5.516 5.516
angles: 46.37 90.00 90.00
Atoms (fractional coordinates):
Gd: 0.000 0.000 0.000
Dy: 0.500 0.167 0.167
Ga: 0.197 0.718 0.718
Ga: 0.305 0.449 0.449
Ga: 0.695 0.449 0.449
Ga: 0.803 0.718 0.718
Ir: 0.000 0.286 0.286
Ir: 0.500 0.880 0.880